# 1
Material: Sr2PrZn3Pt4
Method: DFT, GGA-PBE
State: optimized geometry

Properties
Formation energy ... -68 kJ/mol of atoms
Calculated total energy ... -43.2 eV for the cell shown

Lattice parameters (Å, degrees): 4.3747 4.3747 11.5961 90.00 90.00 90.00
Closest atoms and distances in Å follow each position.
Space group P-4m2 (No. 115)
Unique sites:
Sr1 0.0000 0.5000 0.2196 x2  4 Zn 3.31, 8 Pt 3.36-3.39
Pr1 0.0000 0.0000 0.5000 x1  4 Pt 2.87, 4 Zn 3.09
Zn1 0.0000 0.5000 0.8817 x2  5 Pt 2.57-2.58
Zn2 0.5000 0.5000 0.5000 x1  4 Pt 2.87, 4 Pr 3.09
Pt1 0.0000 0.0000 0.0000 x1  4 Zn 2.58
Pt2 0.0000 0.5000 0.6600 x2  3 Zn 2.57-2.87, 2 Pr 2.87
Pt3 0.5000 0.5000 0.0000 x1  4 Zn 2.58

---

# 2
Material: SrPrZnPt
Method: DFT, GGA-PBE
State: optimized geometry

Properties
Formation energy ... -53 kJ/mol of atoms
Calculated total energy ... -64.0 eV for the cell shown

Lattice parameters (Å, degrees): 7.4040 7.4040 7.4040 90.00 90.00 90.00
Closest atoms and distances in Å follow each position.
Space group F-43m (No. 216)
Unique sites:
Sr1 0.0000 0.0000 0.0000 x4  4 Pt 3.21, 4 Zn 3.21
Pr1 0.0000 0.0000 0.5000 x4  4 Pt 3.21, 4 Zn 3.21
Zn1 0.2500 0.2500 0.2500 x4  4 Pr 3.21, 4 Sr 3.21
Pt1 0.2500 0.2500 0.7500 x4  4 Pr 3.21, 4 Sr 3.21

---

# 3
Material: SrPrZn2Pt2
Method: DFT, GGA-PBE
State: optimized geometry

Properties
Formation energy ... -76 kJ/mol of atoms
Calculated total energy ... -25.8 eV for the cell shown

Lattice parameters (Å, degrees): 4.4498 4.4498 8.1191 90.00 90.00 120.00
Closest atoms and distances in Å follow each position.
Space group P-3m1 (No. 164)
Unique sites:
Sr1 0.0000 0.0000 0.0000 x1  6 Zn 3.34, 6 Pt 3.40
Pr1 0.0000 0.0000 0.5000 x1  6 Pt 3.15, 6 Zn 3.21
Zn1 0.3333 0.6667 0.7364 x2  3 Pt 2.57
Pt1 0.3333 0.6667 0.2752 x2  3 Zn 2.57